Here is Ti2SnIr after structural relaxation from Alexandria. Energies are from PBE-GGA.

POSCAR file:
```
Ti2SnIr
1.0
4.021 0.000 0.000
0.000 4.021 0.000
0.000 0.000 4.150
Ti Sn Ir
2 1 1
direct
0.000 0.500 0.000
0.500 0.000 0.000
0.000 0.000 0.500
0.500 0.500 0.500
```

## Properties
**Formation enthalpy at 0 K**: -0.494 eV/atom
**Symmetry**: P4/mmm (123)
**DFT total energy**: -7.66 eV per atom
**DOS(E_F)**: 0.94 states/eV/atom